This record from Alexandria describes a geometry-optimized CuGeMoO6 structure. The functional is PBE+U.

a = 5.0475 Å, b = 5.0475 Å, c = 8.9400 Å
α = 90.00°, β = 90.00°, γ = 120.00°
Atoms (fractional coordinates):
Cu 0.0000 0.0000 0.0000
Cu 0.0000 0.0000 0.5000
Ge 0.3333 0.6667 0.2500
Ge 0.6667 0.3333 0.7500
Mo 0.3333 0.6667 0.7500
Mo 0.6667 0.3333 0.2500
O 0.0052 0.3584 0.1333
O 0.0052 0.6468 0.3667
O 0.3532 0.3584 0.3667
O 0.3532 0.9948 0.1333
O 0.3584 0.0052 0.6333
O 0.3584 0.3532 0.8667
O 0.6416 0.6468 0.1333
O 0.6416 0.9948 0.3667
O 0.6468 0.0052 0.8667
O 0.6468 0.6416 0.6333
O 0.9948 0.3532 0.6333
O 0.9948 0.6416 0.8667

Values from the calculation:
V: 197 Å³/cell
Space group: P-31c
Calculated total energy: -6.25 eV/atom